Below is an optimized crystal structure of Ta2VClO, with properties calculated at the GGA+U level.

Cell lengths 4.5142, 4.5142, 4.3598 Å; angles 90.00, 90.00, 90.00 degrees
Last column: nearest neighbours and their distance in Å.
Element x y z (fractional)
Ta1 0.5000 0.0000 0.0000  2 Cl 2.26
Ta2 0.0000 0.5000 0.0000  2 Cl 2.26
V1 0.0000 0.0000 0.5000  2 Cl 2.18
O1 0.5000 0.5000 0.5000  8 Ta 3.14, 4 V 3.19
Cl1 0.0000 0.0000 0.0000  2 V 2.18, 4 Ta 2.26

Output
* calculated total energy: -6.0695 eV per atom